The following is a PBE calculation of a relaxed structure of CdAs, from the Alexandria database.

Values from the calculation:
energy of formation	0.19	eV per atom
energy relative to the lowest polymorph listed for this composition	0.547	eV/f.u.

Cell: 6.1370 6.1370 6.1370 Å, 90.00 90.00 90.00°
With the nearest neighbours (Å) after each atom.
Positions (direct):
1 Cd 0.0000 0.5000 0.5000  4 As 2.66
2 Cd 0.5000 0.5000 0.0000  4 As 2.66
3 Cd 0.0000 0.0000 0.0000  4 As 2.66
4 Cd 0.5000 0.0000 0.5000  4 As 2.66
5 As 0.7500 0.7500 0.2500  4 Cd 2.66
6 As 0.2500 0.2500 0.2500  4 Cd 2.66
7 As 0.2500 0.7500 0.7500  4 Cd 2.66
8 As 0.7500 0.2500 0.7500  4 Cd 2.66